No. 1
Mg2ScSi after structural relaxation. Source: the Alexandria database, functional GGA-PBE.

Cell: 3.2648 4.1493 6.2916 Å, 90.00 104.94 90.00°
Last column: nearest neighbours and their distance in Å.
Space group Pm (No. 6)
One atom of each set of equivalent atoms:
Mg  0.0000  0.0000  0.0000  1 Si 2.78, 4 Mg 3.03
Mg  0.3780  0.5000  0.7559  2 Si 2.75, 4 Mg 3.03
Sc  0.6525  0.5000  0.3040  4 Si 2.80
Si  0.2292  0.0000  0.4578  3 Mg 2.75-2.78, 4 Sc 2.80

ΔE_f (raw) ... -78 kJ/mol of formula units
Crystal system ... monoclinic
M_tot ... 0.000 μB/f.u.
N(E_F) ... 1.635 states/eV/cell
DFT total energy ... -15.8 eV per cell

No. 2
Er3Mn5S12 after structural relaxation. Source: the Alexandria database, functional GGA-PBE.

Cell: 14.8602 14.8602 14.8602 Å, 90.00 90.00 90.00°
Last column: nearest neighbours and their distance in Å.
Space group Ia-3d (No. 230)
One atom of each set of equivalent atoms:
Er  0.0000  0.2500  0.1250  8 S 2.83-2.89
Mn  0.0000  0.0000  0.0000  6 S 2.41
Mn  0.0000  0.2500  0.3750  4 S 2.28
S  0.0253  0.0584  0.6489  2 Mn 2.28-2.41

ΔE_f (raw) ... -2028 kJ/mol of formula units
Crystal system ... cubic
M_tot ... 20.020 μB/f.u.
N(E_F) ... 39.191 states/eV/cell
DFT total energy ... -1040.6 eV per cell

No. 3
Re2Ag2Br after structural relaxation. Source: the Alexandria database, functional GGA-PBE.

Cell: 8.6757 8.6757 2.6450 Å, 90.00 90.00 90.00°
Last column: nearest neighbours and their distance in Å.
Space group P4/mbm (No. 127)
One atom of each set of equivalent atoms:
Re  0.0960  0.4040  0.0000  1 Re 2.36
Ag  0.1932  0.6932  0.5000  2 Ag 2.64, 6 Re 2.90-2.96
Br  0.0000  0.0000  0.0000  2 Br 2.64

ΔE_f (raw) ... 486 kJ/mol of formula units
Energy above the lowest structure with this stoichiometry ... 0.00 kcal/mol of atoms
Crystal system ... tetragonal
M_tot ... 0.000 μB/f.u.
N(E_F) ... 8.197 states/eV/cell
DFT total energy ... -54.5 eV per cell

No. 4
LiLuTcRu after structural relaxation. Source: the Alexandria database, functional GGA-PBE.

Cell: 6.3440 6.3440 6.3440 Å, 90.00 90.00 90.00°
Last column: nearest neighbours and their distance in Å.
Space group F-43m (No. 216)
One atom of each set of equivalent atoms:
Li  0.0000  0.0000  0.0000  4 Lu 2.75, 4 Ru 2.75
Lu  0.2500  0.2500  0.2500  4 Tc 2.75, 4 Li 2.75
Tc  0.0000  0.0000  0.5000  4 Ru 2.75, 4 Lu 2.75
Ru  0.2500  0.2500  0.7500  4 Li 2.75, 4 Tc 2.75

Crystal system ... cubic
E_form ... 0.12 eV per formula unit
M_tot ... 0.000 μB/f.u.
N(E_F) ... 12.891 states/eV/cell
DFT total energy ... -103.8 eV per cell

No. 5
PdRuRh2 after structural relaxation. Source: the Alexandria database, functional GGA-PBE.

Cell: 2.7220 2.7220 7.7697 Å, 90.00 90.00 90.00°
Last column: nearest neighbours and their distance in Å.
Space group P4/mmm (No. 123)
One atom of each set of equivalent atoms:
Pd  0.0000  0.0000  0.0000  4 Pd 2.72, 8 Rh 2.80
Ru  0.0000  0.0000  0.5000  8 Rh 2.67, 4 Ru 2.72
Rh  0.5000  0.5000  0.2622  4 Ru 2.67, 4 Rh 2.72, 4 Pd 2.80

Energy above the lowest structure with this stoichiometry ... 0.02 kcal/mol of atoms
Crystal system ... tetragonal
E_form ... 0.08 eV per formula unit
M_tot ... 0.000 μB/f.u.
N(E_F) ... 3.875 states/eV/cell
DFT total energy ... -29.1 eV per cell

No. 6
Y3TeAsS after structural relaxation. Source: the Alexandria database, functional GGA-PBE.

Cell: 6.8602 14.5265 6.8386 Å, 90.00 107.31 90.00°
Last column: nearest neighbours and their distance in Å.
Space group C2/c (No. 15)
One atom of each set of equivalent atoms:
Y  0.0000  0.2455  0.2500  1 S 2.71, 1 As 2.73
Y  0.2473  0.0670  0.0014  2 S 2.73-2.74, 2 As 2.78-2.81
Te  0.0000  0.2497  0.7500  8 Y 3.34-3.43
As  0.0000  0.4338  0.2500  5 Y 2.73-2.81
S  0.0000  0.0592  0.2500  5 Y 2.71-2.74

ΔE_f (raw) ... -818 kJ/mol of formula units
Crystal system ... monoclinic
M_tot ... 0.227 μB/f.u.
N(E_F) ... 17.101 states/eV/cell
DFT total energy ... -159.2 eV per cell

No. 7
Mg2TlZnGe after structural relaxation. Source: the Alexandria database, functional GGA-PBE.

Cell: 5.0967 5.0967 5.4954 Å, 90.00 90.00 90.00°
Last column: nearest neighbours and their distance in Å.
Space group P4/mmm (No. 123)
One atom of each set of equivalent atoms:
Mg  0.0000  0.5000  0.0000  2 Ge 2.55
Tl  0.0000  0.0000  0.5000  2 Ge 2.75
Zn  0.5000  0.5000  0.5000  4 Tl 3.60, 8 Mg 3.75
Ge  0.0000  0.0000  0.0000  4 Mg 2.55, 2 Tl 2.75

Crystal system ... tetragonal
E_form ... 1.55 eV per formula unit
M_tot ... 0.000 μB/f.u.
N(E_F) ... 3.025 states/eV/cell
DFT total energy ... -9.9 eV per cell

No. 8
BiBr4 after structural relaxation. Source: the Alexandria database, functional GGA-PBE.

Cell: 7.3302 7.3302 12.4637 Å, 90.00 90.00 90.00°
Last column: nearest neighbours and their distance in Å.
Space group I4_1/a (No. 88, origin choice 2)
One atom of each set of equivalent atoms:
Bi  0.0000  0.2500  0.1250  8 Br 2.98-3.08
Br  0.1797  0.4707  0.3065  2 Bi 2.98-3.08, 2 Br 3.21

ΔE_f (raw) ... -195 kJ/mol of formula units
Energy above the lowest structure with this stoichiometry ... 0.00 kcal/mol of atoms
Crystal system ... tetragonal
M_tot ... 0.000 μB/f.u.
N(E_F) ... 12.094 states/eV/cell
DFT total energy ... -50.4 eV per cell